The following is a PBE-GGA calculation of crystalline LaAgS2 at its relaxed geometry, from Alexandria via LeMat-Bulk.

Structure (POSCAR):
```
LaAgS2
1.0
7.1789 0.0000 0.0000
0.0000 3.9752 0.0000
0.0000 0.0000 12.8584
La Ag S
4 4 8
direct
0.1362 0.2500 0.1500 La
0.3638 0.7500 0.6500 La
0.6362 0.2500 0.3500 La
0.8638 0.7500 0.8500 La
0.0993 0.7500 0.4237 Ag
0.4007 0.2500 0.9237 Ag
0.5993 0.7500 0.0763 Ag
0.9007 0.2500 0.5763 Ag
0.0954 0.2500 0.7391 S
0.2016 0.7500 0.9870 S
0.2984 0.2500 0.4870 S
0.4046 0.7500 0.2391 S
0.5954 0.2500 0.7609 S
0.7016 0.7500 0.5130 S
0.7984 0.2500 0.0130 S
0.9046 0.7500 0.2609 S
```

Formation energy from raw total energies, eV per atom: -1.40
V, Å³/atom: 22.93
Final energy, eV per atom: -5.409
Theoretical density, g cm⁻³: 5.6